(1)
VASP calculation (GGA-PBE) on a relaxed structure of Cu2AgF4.

Structure (CIF):
```
data_Cu2AgF4
_chemical_formula_sum 'Cu4 Ag2 F8'
_space_group_name_H-M_alt 'P 1'
_space_group_IT_number 1
_cell_length_a 6.012
_cell_length_b 6.018
_cell_length_c 6.739
_cell_angle_alpha 63.51
_cell_angle_beta 63.55
_cell_angle_gamma 89.94
loop_
_space_group_symop_operation_xyz
'x,y,z'
loop_
_atom_site_label
_atom_site_type_symbol
_atom_site_fract_x
_atom_site_fract_y
_atom_site_fract_z
Cu1 Cu 0.000 0.000 0.000
Cu2 Cu 0.000 0.000 0.500
Cu3 Cu 0.000 0.500 0.000
Cu4 Cu 0.500 0.000 0.500
Ag1 Ag 0.375 0.625 0.250
Ag2 Ag 0.625 0.375 0.750
F1 F 0.041 0.645 0.651
F2 F 0.205 0.041 0.150
F3 F 0.308 0.204 0.650
F4 F 0.354 0.692 0.850
F5 F 0.646 0.308 0.150
F6 F 0.692 0.796 0.350
F7 F 0.795 0.959 0.850
F8 F 0.959 0.355 0.349
```

Values from the calculation:
Its space group is No. 2. The raw total energy comes out at -3.8860 eV per atom. The value obtained for the excess energy over the best structure of this formula in the dataset is 0.0 meV/atom. The total magnetic moment comes out at 2.0 Bohr magnetons per cell. As for the volume: 189.38 Å³/cell.


(2)
VASP calculation (GGA-PBE) on a relaxed structure of Cu4AgF8.

Structure (CIF):
```
data_Cu4AgF8
_chemical_formula_sum 'Cu4 Ag1 F8'
_space_group_name_H-M_alt 'P 1'
_space_group_IT_number 1
_cell_length_a 6.328
_cell_length_b 6.328
_cell_length_c 7.402
_cell_angle_alpha 120.95
_cell_angle_beta 120.95
_cell_angle_gamma 56.60
loop_
_space_group_symop_operation_xyz
'x,y,z'
loop_
_atom_site_label
_atom_site_type_symbol
_atom_site_fract_x
_atom_site_fract_y
_atom_site_fract_z
Cu1 Cu 0.232 0.232 0.492
Cu2 Cu 0.247 0.753 0.000
Cu3 Cu 0.753 0.247 0.000
Cu4 Cu 0.768 0.768 0.508
Ag1 Ag 0.500 0.500 0.500
F1 F 0.006 0.006 0.829
F2 F 0.028 0.515 0.345
F3 F 0.485 0.972 0.655
F4 F 0.488 0.488 0.161
F5 F 0.512 0.512 0.839
F6 F 0.515 0.028 0.345
F7 F 0.972 0.485 0.655
F8 F 0.994 0.994 0.171
```

Values from the calculation:
Its space group is No. 12. The raw total energy comes out at -3.9777 eV per atom. The total magnetic moment comes out at 3.0 Bohr magnetons per cell. As for the volume: 200.86 Å³/cell.


(3)
VASP calculation (GGA-PBE) on a relaxed structure of CuAg6F8.

Structure (CIF):
```
data_CuAg6F8
_chemical_formula_sum 'Cu1 Ag6 F8'
_space_group_name_H-M_alt 'P 1'
_space_group_IT_number 1
_cell_length_a 6.958
_cell_length_b 6.958
_cell_length_c 5.526
_cell_angle_alpha 90.00
_cell_angle_beta 90.00
_cell_angle_gamma 120.00
loop_
_space_group_symop_operation_xyz
'x,y,z'
loop_
_atom_site_label
_atom_site_type_symbol
_atom_site_fract_x
_atom_site_fract_y
_atom_site_fract_z
Cu1 Cu 0.000 0.000 0.000
Ag1 Ag 0.001 0.595 0.742
Ag2 Ag 0.405 0.406 0.742
Ag3 Ag 0.406 0.001 0.258
Ag4 Ag 0.594 0.999 0.742
Ag5 Ag 0.595 0.594 0.258
Ag6 Ag 0.999 0.405 0.258
F1 F 0.001 0.251 0.799
F2 F 0.249 0.999 0.799
F3 F 0.251 0.249 0.201
F4 F 0.333 0.667 0.497
F5 F 0.667 0.333 0.503
F6 F 0.749 0.751 0.799
F7 F 0.751 0.001 0.201
F8 F 0.999 0.749 0.201
```

Values from the calculation:
Its space group is No. 147. The raw total energy comes out at -3.4487 eV per atom. The total magnetic moment comes out at 1.0 Bohr magnetons per cell. As for the volume: 231.67 Å³/cell.